(1)
DFT (PBE) results for crystalline BaSr at its relaxed geometry.

abc: 7.1977 4.3449 7.5671
angles: 90.00 90.00 90.00
Last column: nearest neighbours and their distance in Å.
Element x y z (fractional)
Ba 0.2500 0.0000 0.1680  4 Ba 4.34-4.41, 8 Sr 4.35-4.39
Ba 0.7500 0.0000 0.8320  4 Ba 4.34-4.41, 8 Sr 4.35-4.39
Sr 0.2500 0.5000 0.6664  4 Sr 4.34-4.39, 8 Ba 4.35-4.39
Sr 0.7500 0.5000 0.3336  4 Sr 4.34-4.39, 8 Ba 4.35-4.39

Summary:
* energy above the most stable polymorph in this dataset: 0.011 eV per atom
* V: 59.16 Å³ per atom
* calculated formation energy: 0.011 eV per atom
* D(E_F): 1.476 states/eV/atom
* space-group type: Pmma

***

(2)
DFT (PBE) results for crystalline Sm3Dy7Tm at its relaxed geometry.

abc: 6.9325 5.5208 9.9442
angles: 90.00 109.27 90.00
Last column: nearest neighbours and their distance in Å.
Element x y z (fractional)
Sm 0.0000 0.0000 0.0000  2 Tm 3.47, 10 Dy 3.53-3.81
Sm 0.2797 0.5000 0.4957  1 Sm 3.03, 4 Dy 3.34-3.38
Sm 0.7203 0.5000 0.5043  1 Sm 3.03, 4 Dy 3.34-3.38
Dy 0.0000 0.0000 0.5000  4 Sm 3.38, 2 Dy 3.79
Dy 0.1487 0.5000 0.7896  3 Dy 3.26-3.57, 2 Sm 3.34-3.36
Dy 0.3216 0.5000 0.1368  5 Dy 3.26-3.57, 2 Tm 3.48, 2 Sm 3.53
Dy 0.4244 0.0000 0.3290  3 Dy 3.21-3.30, 1 Tm 3.48, 4 Sm 3.53-3.54
Dy 0.5756 0.0000 0.6710  3 Dy 3.21-3.30, 1 Tm 3.48, 4 Sm 3.53-3.54
Dy 0.6784 0.5000 0.8632  5 Dy 3.26-3.57, 2 Tm 3.48, 2 Sm 3.53
Dy 0.8513 0.5000 0.2104  3 Dy 3.26-3.57, 2 Sm 3.34-3.36
Tm 0.5000 0.0000 0.0000  2 Sm 3.47, 10 Dy 3.48-3.82

Summary:
* energy above the most stable polymorph in this dataset: 0.000 eV per atom
* V: 32.66 Å³ per atom
* calculated formation energy: 0.144 eV per atom
* D(E_F): 1.518 states/eV/atom
* space-group type: P2/m